Record 1
Here is a relaxed Tb3Dy4Pt4 crystal from Alexandria. Energies are from GGA-PBE.

a = 4.459 Å, b = 7.974 Å, c = 8.990 Å
α = 116.33°, β = 104.36°, γ = 90.00°
Atoms (fractional coordinates):
Dy (0.330, 0.538, 0.661)
Pt (0.213, 0.713, 0.427)
Tb (0.102, 0.102, 0.204)
Pt (0.500, 0.819, 0.000)
Tb (0.000, 0.500, 0.000)
Pt (0.500, 0.181, 0.000)
Dy (0.670, 0.462, 0.339)
Dy (0.330, 0.123, 0.661)
Tb (0.898, 0.898, 0.796)
Pt (0.787, 0.287, 0.573)
Dy (0.670, 0.877, 0.339)

Energy relative to the elements in eV/atom: -0.889
Spin magnetization in Bohr magnetons per cell: 0.000

---

Record 2
Here is a relaxed Ni5SnAs2 crystal from Alexandria. Energies are from GGA-PBE.

a = 3.736 Å, b = 5.244 Å, c = 6.506 Å
α = 113.77°, β = 106.69°, γ = 90.00°
Atoms (fractional coordinates):
Ni (0.379, 0.620, 0.758)
Ni (0.379, 0.138, 0.758)
As (0.791, 0.291, 0.581)
Ni (0.621, 0.862, 0.242)
Ni (0.000, 0.500, 0.000)
Ni (0.621, 0.380, 0.242)
As (0.209, 0.709, 0.419)
Sn (0.000, 0.000, 0.000)

Energy relative to the elements in eV/atom: -0.247
Spin magnetization in Bohr magnetons per cell: 0.000

---

Record 3
Here is a relaxed LiEr2InO crystal from Alexandria. Energies are from GGA-PBE.

a = 4.278 Å, b = 4.731 Å, c = 4.731 Å
α = 90.00°, β = 90.00°, γ = 90.00°
Atoms (fractional coordinates):
Er (0.000, 0.500, 0.000)
Li (0.500, 0.000, 0.000)
In (0.500, 0.500, 0.500)
Er (0.000, 0.000, 0.500)
O (0.000, 0.000, 0.000)

Energy relative to the elements, uncorrected in eV/atom: -1.428
Spin magnetization in Bohr magnetons per cell: 0.000

---

Record 4
Here is a relaxed CeSmTm2 crystal from Alexandria. Energies are from GGA-PBE.

a = 3.536 Å, b = 3.536 Å, c = 9.845 Å
α = 90.00°, β = 90.00°, γ = 90.00°
Atoms (fractional coordinates):
Sm (0.500, 0.500, 0.500)
Tm (0.000, 0.000, 0.243)
Ce (0.500, 0.500, 0.000)
Tm (0.000, 0.000, 0.757)

Distance to the lowest polymorph of the same formula in meV/atom: 11
Energy relative to the elements in eV/atom: 0.060
Spin magnetization in Bohr magnetons per cell: 0.665

---

Record 5
Here is a relaxed PaHg2Sb crystal from Alexandria. Energies are from GGA-PBE.

a = 3.238 Å, b = 3.238 Å, c = 12.134 Å
α = 82.33°, β = 82.33°, γ = 60.00°
Atoms (fractional coordinates):
Sb (0.500, 0.500, 0.500)
Pa (0.000, 0.000, 0.000)
Hg (0.913, 0.913, 0.261)
Hg (0.087, 0.087, 0.739)

Distance to the lowest polymorph of the same formula in meV/atom: 508
Energy relative to the elements, uncorrected in eV/atom: 0.316
Spin magnetization in Bohr magnetons per cell: 0.812

---

Record 6
Here is a relaxed La21Fe8Sb7C12 crystal from Alexandria. Energies are from GGA-PBE.

a = 11.633 Å, b = 11.633 Å, c = 11.633 Å
α = 60.00°, β = 60.00°, γ = 60.00°
Atoms (fractional coordinates):
La (0.156, 0.500, 0.500)
La (0.133, 0.133, 0.133)
La (0.500, 0.844, 0.156)
Fe (0.304, 0.304, 0.304)
Fe (0.911, 0.696, 0.696)
La (0.500, 0.500, 0.844)
La (0.844, 0.500, 0.156)
La (0.500, 0.500, 0.156)
C (0.110, 0.390, 0.110)
C (0.390, 0.110, 0.390)
La (0.500, 0.844, 0.500)
Sb (0.774, 0.774, 0.226)
C (0.390, 0.110, 0.110)
La (0.133, 0.133, 0.602)
Fe (0.696, 0.696, 0.696)
Fe (0.696, 0.696, 0.911)
La (0.867, 0.398, 0.867)
C (0.610, 0.610, 0.890)
La (0.500, 0.500, 0.500)
Fe (0.304, 0.304, 0.089)
Sb (0.774, 0.226, 0.226)
Fe (0.089, 0.304, 0.304)
La (0.398, 0.867, 0.867)
C (0.110, 0.390, 0.390)
Sb (0.226, 0.226, 0.774)
La (0.867, 0.867, 0.398)
C (0.610, 0.890, 0.610)
C (0.390, 0.390, 0.110)
La (0.844, 0.156, 0.500)
C (0.890, 0.610, 0.610)
Sb (0.226, 0.774, 0.226)
Sb (0.774, 0.226, 0.774)
La (0.133, 0.602, 0.133)
Fe (0.696, 0.911, 0.696)
Sb (0.226, 0.774, 0.774)
La (0.500, 0.156, 0.844)
C (0.610, 0.890, 0.890)
La (0.867, 0.867, 0.867)
La (0.156, 0.500, 0.844)
Sb (0.000, 0.000, 0.000)
La (0.500, 0.156, 0.500)
C (0.110, 0.110, 0.390)
C (0.890, 0.890, 0.610)
Fe (0.304, 0.089, 0.304)
La (0.156, 0.844, 0.500)
C (0.890, 0.610, 0.890)
La (0.844, 0.500, 0.500)
La (0.602, 0.133, 0.133)

Energy relative to the elements, uncorrected in eV/atom: -0.527
Spin magnetization in Bohr magnetons per cell: 3.953